Entry 1:
# PrSmF

Crystalline PrSmF at its relaxed geometry (PBE-GGA, Alexandria).

abc: 3.8705 3.8705 5.7729
angles: 90.00 90.00 120.00
With the nearest neighbours (Å) after each atom.
Fractional coordinates of all 3 atoms:
1 Sm 0.0000 0.0000 0.9085  3 F 2.61
2 F 0.3333 0.6667 0.6758  3 Sm 2.61, 3 Pr 2.69
3 Pr 0.6667 0.3333 0.4157  3 F 2.69

Summary:
ΔE_f (raw): -1.547 eV/atom
Fermi-level density of states: 0.72 states/eV/atom
V: 25.0 A^3/atom

Entry 2:
# La3Tb8Sm2

Crystalline La3Tb8Sm2 at its relaxed geometry (PBE-GGA, Alexandria).

abc: 5.6930 7.7511 10.9399
angles: 110.75 90.15 90.00
With the nearest neighbours (Å) after each atom.
Fractional coordinates of all 13 atoms:
1 Tb 0.9983 0.1357 0.2715  2 Sm 3.56-3.59, 4 La 3.61-3.99, 7 Tb 3.67-3.95
2 Tb 0.4993 0.1831 0.7830  1 La 3.17, 3 Tb 3.23-3.52, 2 Sm 3.47-3.54
3 Tb 0.0017 0.8643 0.7285  2 Sm 3.56-3.59, 4 La 3.61-3.99, 7 Tb 3.67-3.95
4 Tb 0.0029 0.6713 0.3426  2 Sm 3.36, 4 Tb 3.51-3.52
5 Tb 0.9971 0.3287 0.6574  2 Sm 3.36, 4 Tb 3.51-3.52
6 Tb 0.5007 0.8169 0.2170  1 La 3.17, 3 Tb 3.23-3.52, 2 Sm 3.47-3.54
7 Tb 0.5007 0.4001 0.2170  1 La 3.17, 3 Tb 3.23-3.52, 2 Sm 3.47-3.54
8 Tb 0.4993 0.5999 0.7830  1 La 3.17, 3 Tb 3.23-3.52, 2 Sm 3.47-3.54
9 Sm 0.5040 0.7584 0.5168  8 Tb 3.36-3.59
10 Sm 0.4960 0.2416 0.4832  8 Tb 3.36-3.59
11 La 0.0000 0.2984 0.0000  1 La 3.12
12 La 0.0000 0.7016 0.0000  1 La 3.12
13 La 0.5000 0.0000 0.0000  4 Tb 3.17

Summary:
Fermi-level density of states: 1.79 states/eV/atom
V: 34.7 A^3/atom
Formation energy from the elements: 245 meV/atom
E above lowest polymorph: 0.225 eV/atom

Repeat the first record exactly.
# PrSmF

Crystalline PrSmF at its relaxed geometry (PBE-GGA, Alexandria).

abc: 3.8705 3.8705 5.7729
angles: 90.00 90.00 120.00
With the nearest neighbours (Å) after each atom.
Fractional coordinates of all 3 atoms:
1 Sm 0.0000 0.0000 0.9085  3 F 2.61
2 F 0.3333 0.6667 0.6758  3 Sm 2.61, 3 Pr 2.69
3 Pr 0.6667 0.3333 0.4157  3 F 2.69

Summary:
ΔE_f (raw): -1.547 eV/atom
Fermi-level density of states: 0.72 states/eV/atom
V: 25.0 A^3/atom

> Which of these has the highest V?

La3Tb8Sm2

> What is the formula in the second record?

La3Tb8Sm2

> Number 2 is which compound?

La3Tb8Sm2